(1)
A plane-wave DFT calculation with PBE was carried out for Th2AlCo4Si3 after structural relaxation.

Properties
- magnetic moment (μB/atom) = 0.000
- ΔE_f (raw) (eV/atom) = -0.730

CIF file:
```
data_Th2AlCo4Si3
_chemical_formula_sum 'Th2 Al1 Co4 Si3'
_cell_length_a 4.0015
_cell_length_b 4.0015
_cell_length_c 9.8548
_cell_angle_alpha 90.00
_cell_angle_beta 90.00
_cell_angle_gamma 90.00
_symmetry_space_group_name_H-M 'P -4 m 2'
_symmetry_Int_Tables_number 115
_symmetry_space_group_name_Hall 'P -4 -2'
loop_
_atom_site_label
_atom_site_fract_x
_atom_site_fract_y
_atom_site_fract_z
_atom_site_occupancy
Th1 0.0000 0.5000 0.2496 1
Al1 0.0000 0.0000 0.5000 1
Co1 0.0000 0.0000 0.0000 1
Co2 0.0000 0.5000 0.6394 1
Co3 0.5000 0.5000 0.0000 1
Si1 0.0000 0.5000 0.8774 1
Si2 0.5000 0.5000 0.5000 1
```


(2)
A plane-wave DFT calculation with PBE was carried out for Ti2Al2Co5Si after structural relaxation.

Properties
- magnetic moment (μB/atom) = 0.000
- ΔE_f (raw) (eV/atom) = -0.277

CIF file:
```
data_Ti2Al2Co5Si
_chemical_formula_sum 'Ti4 Al4 Co10 Si2'
_cell_length_a 8.8337
_cell_length_b 8.8337
_cell_length_c 3.2380
_cell_angle_alpha 90.00
_cell_angle_beta 90.00
_cell_angle_gamma 90.00
_symmetry_space_group_name_H-M 'P 4/m b m'
_symmetry_Int_Tables_number 127
_symmetry_space_group_name_Hall '-P 4 2ab'
loop_
_atom_site_label
_atom_site_fract_x
_atom_site_fract_y
_atom_site_fract_z
_atom_site_occupancy
Ti1 0.1721 0.3279 0.0000 1
Al1 0.1263 0.6263 0.0000 1
Co1 0.0000 0.5000 0.5000 1
Co2 0.0613 0.8035 0.5000 1
Si1 0.0000 0.0000 0.0000 1
```


(3)
A plane-wave DFT calculation with PBE was carried out for TmAl2Co2Si after structural relaxation.

Properties
- magnetic moment (μB/atom) = 0.164
- ΔE_f (raw) (eV/atom) = -0.358

CIF file:
```
data_TmAl2Co2Si
_chemical_formula_sum 'Tm1 Al2 Co2 Si1'
_cell_length_a 4.2180
_cell_length_b 4.2180
_cell_length_c 5.5024
_cell_angle_alpha 90.00
_cell_angle_beta 90.00
_cell_angle_gamma 90.00
_symmetry_space_group_name_H-M 'P 4/m m m'
_symmetry_Int_Tables_number 123
_symmetry_space_group_name_Hall '-P 4 2'
loop_
_atom_site_label
_atom_site_fract_x
_atom_site_fract_y
_atom_site_fract_z
_atom_site_occupancy
Tm1 0.0000 0.0000 0.0000 1
Al1 0.5000 0.5000 0.2440 1
Co1 0.0000 0.5000 0.5000 1
Si1 0.0000 0.0000 0.5000 1
```


(4)
A plane-wave DFT calculation with PBE was carried out for U2AlCo4Si3 after structural relaxation.

Properties
- magnetic moment (μB/atom) = 0.081
- ΔE_f (raw) (eV/atom) = -0.552

CIF file:
```
data_U2AlCo4Si3
_chemical_formula_sum 'U2 Al1 Co4 Si3'
_cell_length_a 3.8103
_cell_length_b 3.8103
_cell_length_c 9.9734
_cell_angle_alpha 90.00
_cell_angle_beta 90.00
_cell_angle_gamma 90.00
_symmetry_space_group_name_H-M 'P -4 m 2'
_symmetry_Int_Tables_number 115
_symmetry_space_group_name_Hall 'P -4 -2'
loop_
_atom_site_label
_atom_site_fract_x
_atom_site_fract_y
_atom_site_fract_z
_atom_site_occupancy
U1 0.0000 0.5000 0.2488 1
Al1 0.0000 0.0000 0.5000 1
Co1 0.0000 0.0000 0.0000 1
Co2 0.0000 0.5000 0.6485 1
Co3 0.5000 0.5000 0.0000 1
Si1 0.0000 0.5000 0.8756 1
Si2 0.5000 0.5000 0.5000 1
```


(5)
A plane-wave DFT calculation with PBE was carried out for YAl2Co2Si after structural relaxation.

Properties
- magnetic moment (μB/atom) = 0.173
- ΔE_f (raw) (eV/atom) = -0.390

CIF file:
```
data_YAl2Co2Si
_chemical_formula_sum 'Y1 Al2 Co2 Si1'
_cell_length_a 4.2281
_cell_length_b 4.2281
_cell_length_c 5.5589
_cell_angle_alpha 90.00
_cell_angle_beta 90.00
_cell_angle_gamma 90.00
_symmetry_space_group_name_H-M 'P 4/m m m'
_symmetry_Int_Tables_number 123
_symmetry_space_group_name_Hall '-P 4 2'
loop_
_atom_site_label
_atom_site_fract_x
_atom_site_fract_y
_atom_site_fract_z
_atom_site_occupancy
Y1 0.0000 0.0000 0.0000 1
Al1 0.5000 0.5000 0.2457 1
Co1 0.0000 0.5000 0.5000 1
Si1 0.0000 0.0000 0.5000 1
```


(6)
A plane-wave DFT calculation with PBE was carried out for ZrAl2Co2Si after structural relaxation.

Properties
- magnetic moment (μB/atom) = 0.170
- ΔE_f (raw) (eV/atom) = -0.287

CIF file:
```
data_ZrAl2Co2Si
_chemical_formula_sum 'Zr1 Al2 Co2 Si1'
_cell_length_a 4.1802
_cell_length_b 4.1802
_cell_length_c 5.3242
_cell_angle_alpha 90.00
_cell_angle_beta 90.00
_cell_angle_gamma 90.00
_symmetry_space_group_name_H-M 'P 4/m m m'
_symmetry_Int_Tables_number 123
_symmetry_space_group_name_Hall '-P 4 2'
loop_
_atom_site_label
_atom_site_fract_x
_atom_site_fract_y
_atom_site_fract_z
_atom_site_occupancy
Zr1 0.0000 0.0000 0.0000 1
Al1 0.5000 0.5000 0.2386 1
Co1 0.0000 0.5000 0.5000 1
Si1 0.0000 0.0000 0.5000 1
```


(7)
A plane-wave DFT calculation with PBE was carried out for Sm3AlCo3 after structural relaxation.

Properties
- energy relative to the elements (eV/atom) = -0.253
- magnetic moment (μB/atom) = 0.000

CIF file:
```
data_Sm3AlCo3
_chemical_formula_sum 'Sm12 Al4 Co12'
_cell_length_a 4.0909
_cell_length_b 10.2496
_cell_length_c 13.2236
_cell_angle_alpha 90.00
_cell_angle_beta 90.00
_cell_angle_gamma 90.00
_symmetry_space_group_name_H-M 'C m c m'
_symmetry_Int_Tables_number 63
_symmetry_space_group_name_Hall '-C 2c 2'
loop_
_atom_site_label
_atom_site_fract_x
_atom_site_fract_y
_atom_site_fract_z
_atom_site_occupancy
Sm1 0.0000 0.0032 0.2500 1
Sm2 0.0000 0.2902 0.1046 1
Al1 0.0000 0.0000 0.0000 1
Co1 0.0000 0.3039 0.7500 1
Co2 0.0000 0.4209 0.5923 1
```


(8)
A plane-wave DFT calculation with PBE was carried out for SmAlCo2 after structural relaxation.

Properties
- energy relative to the elements (eV/atom) = -0.133
- magnetic moment (μB/atom) = 0.090

CIF file:
```
data_SmAlCo2
_chemical_formula_sum 'Sm1 Al1 Co2'
_cell_length_a 3.1163
_cell_length_b 3.1163
_cell_length_c 6.4278
_cell_angle_alpha 90.00
_cell_angle_beta 90.00
_cell_angle_gamma 90.00
_symmetry_space_group_name_H-M 'P 4/m m m'
_symmetry_Int_Tables_number 123
_symmetry_space_group_name_Hall '-P 4 2'
loop_
_atom_site_label
_atom_site_fract_x
_atom_site_fract_y
_atom_site_fract_z
_atom_site_occupancy
Sm1 0.0000 0.0000 0.0000 1
Al1 0.0000 0.0000 0.5000 1
Co1 0.5000 0.5000 0.3008 1
```


(9)
A plane-wave DFT calculation with PBE was carried out for Sm4Al12Co after structural relaxation.

Properties
- energy relative to the elements (eV/atom) = -0.468
- magnetic moment (μB/atom) = 0.000

CIF file:
```
data_Sm4Al12Co
_chemical_formula_sum 'Sm8 Al24 Co2'
_cell_length_a 8.6911
_cell_length_b 8.6911
_cell_length_c 8.6911
_cell_angle_alpha 90.00
_cell_angle_beta 90.00
_cell_angle_gamma 90.00
_symmetry_space_group_name_H-M 'I m -3 m'
_symmetry_Int_Tables_number 229
_symmetry_space_group_name_Hall '-I 4 2 3'
loop_
_atom_site_label
_atom_site_fract_x
_atom_site_fract_y
_atom_site_fract_z
_atom_site_occupancy
Sm1 0.2500 0.2500 0.2500 1
Al1 0.0000 0.0000 0.2774 1
Al2 0.0000 0.2500 0.5000 1
Co1 0.0000 0.0000 0.0000 1
```


(10)
A plane-wave DFT calculation with PBE was carried out for Sm4AlCo2 after structural relaxation.

Properties
- energy relative to the elements (eV/atom) = -0.090
- magnetic moment (μB/atom) = 0.000
- distance to the lowest polymorph of the same formula (eV/atom) = 0.000

CIF file:
```
data_Sm4AlCo2
_chemical_formula_sum 'Sm12 Al3 Co6'
_cell_length_a 4.8746
_cell_length_b 4.8746
_cell_length_c 25.3642
_cell_angle_alpha 90.00
_cell_angle_beta 90.00
_cell_angle_gamma 120.00
_symmetry_space_group_name_H-M 'R -3 m'
_symmetry_Int_Tables_number 166
_symmetry_space_group_name_Hall '-R 3 2"'
loop_
_atom_site_label
_atom_site_fract_x
_atom_site_fract_y
_atom_site_fract_z
_atom_site_occupancy
Sm1 0.0000 0.0000 0.1145 1
Sm2 0.0000 0.0000 0.2948 1
Al1 0.0000 0.0000 0.5000 1
Co1 0.0000 0.0000 0.4072 1
```


(11)
A plane-wave DFT calculation with PBE was carried out for Sm2AlCo after structural relaxation.

Properties
- energy relative to the elements (eV/atom) = -0.184
- magnetic moment (μB/atom) = 0.160
- distance to the lowest polymorph of the same formula (eV/atom) = 0.000

CIF file:
```
data_Sm2AlCo
_chemical_formula_sum 'Sm2 Al1 Co1'
_cell_length_a 3.5201
_cell_length_b 3.5201
_cell_length_c 7.3276
_cell_angle_alpha 90.00
_cell_angle_beta 90.00
_cell_angle_gamma 90.00
_symmetry_space_group_name_H-M 'P 4/m m m'
_symmetry_Int_Tables_number 123
_symmetry_space_group_name_Hall '-P 4 2'
loop_
_atom_site_label
_atom_site_fract_x
_atom_site_fract_y
_atom_site_fract_z
_atom_site_occupancy
Sm1 0.0000 0.0000 0.2272 1
Al1 0.5000 0.5000 0.5000 1
Co1 0.5000 0.5000 0.0000 1
```


(12)
A plane-wave DFT calculation with PBE was carried out for Sm6AlCo2 after structural relaxation.

Properties
- energy relative to the elements (eV/atom) = -0.176
- magnetic moment (μB/atom) = 0.000

CIF file:
```
data_Sm6AlCo2
_chemical_formula_sum 'Sm24 Al4 Co8'
_cell_length_a 9.4611
_cell_length_b 9.7758
_cell_length_c 10.1261
_cell_angle_alpha 90.00
_cell_angle_beta 90.00
_cell_angle_gamma 90.00
_symmetry_space_group_name_H-M 'I m m m'
_symmetry_Int_Tables_number 71
_symmetry_space_group_name_Hall '-I 2 2'
loop_
_atom_site_label
_atom_site_fract_x
_atom_site_fract_y
_atom_site_fract_z
_atom_site_occupancy
Sm1 0.0000 0.1976 0.2376 1
Sm2 0.1866 0.5000 0.1757 1
Sm3 0.2171 0.3181 0.5000 1
Al1 0.0000 0.0000 0.0000 1
Al2 0.0000 0.0000 0.5000 1
Co1 0.0000 0.3262 0.0000 1
Co2 0.0000 0.5000 0.3876 1
```


no.,energy (eV/cell)
1,-70.57
2,-133.99
3,-33.74
4,-76.53
5,-35.92
6,-37.39
7,-163.95
8,-23.21
9,-157.68
10,-112.39
11,-21.02
12,-191.41